Entry from the Alexandria database: BaVHgBi2 after structural relaxation (PBE).

a = 5.3887 Å, b = 5.3887 Å, c = 5.4152 Å
α = 90.00°, β = 90.00°, γ = 90.00°
Fractional positions:
1 Ba 0.5000 0.5000 0.5000
2 V 0.0000 0.0000 0.0000
3 Bi 0.0000 0.5000 0.0000
4 Bi 0.5000 0.0000 0.0000
5 Hg 0.0000 0.0000 0.5000

Properties
V   31.449 Å³ per atom
N(E_F)   2.82 states/eV per cell
Total energy   -3.993 eV/atom
Symmetry   P4/mmm, No. 123
Formation enthalpy at 0 K   -172.2 meV/atom

=====

Entry from the Alexandria database: BaZnHgBi2 after structural relaxation (PBE).

a = 5.5334 Å, b = 5.5334 Å, c = 5.5087 Å
α = 90.00°, β = 90.00°, γ = 90.00°
Fractional positions:
1 Ba 0.5000 0.5000 0.5000
2 Zn 0.0000 0.0000 0.0000
3 Bi 0.0000 0.5000 0.0000
4 Bi 0.5000 0.0000 0.0000
5 Hg 0.0000 0.0000 0.5000

Properties
V   33.733 Å³ per atom
N(E_F)   3.25 states/eV per cell
Total energy   -2.503 eV/atom
Symmetry   P4/mmm, No. 123
Formation enthalpy at 0 K   -251.2 meV/atom

=====

Entry from the Alexandria database: Ba2ZnHg4Bi2 after structural relaxation (PBE).

a = 7.4297 Å, b = 7.4297 Å, c = 7.4297 Å
α = 87.82°, β = 121.27°, γ = 121.27°
Fractional positions:
1 Ba 0.5000 0.7500 0.2500
2 Ba 0.5000 0.2500 0.7500
3 Zn 0.0000 0.0000 0.0000
4 Hg 0.0000 0.7248 0.2752
5 Hg 0.4497 0.7248 0.7248
6 Hg 0.0000 0.2752 0.7248
7 Hg 0.5503 0.2752 0.2752
8 Bi 0.0000 0.7359 0.7359
9 Bi 0.0000 0.2641 0.2641

Properties
V   31.580 Å³ per atom
N(E_F)   5.48 states/eV per cell
Total energy   -1.967 eV/atom
Symmetry   I4/mmm, No. 139
Formation enthalpy at 0 K   -401.9 meV/atom

=====

Entry from the Alexandria database: BaZnHg2Bi after structural relaxation (PBE).

a = 5.3051 Å, b = 5.3051 Å, c = 5.6932 Å
α = 90.00°, β = 90.00°, γ = 90.00°
Fractional positions:
1 Ba 0.5000 0.5000 0.5000
2 Zn 0.0000 0.0000 0.0000
3 Bi 0.0000 0.0000 0.5000
4 Hg 0.0000 0.5000 0.0000
5 Hg 0.5000 0.0000 0.0000

Properties
V   32.046 Å³ per atom
N(E_F)   2.17 states/eV per cell
Total energy   -1.827 eV/atom
Symmetry   P4/mmm, No. 123
Formation enthalpy at 0 K   -291.0 meV/atom

=====

Entry from the Alexandria database: BaZrHgBi2 after structural relaxation (PBE).

a = 5.7246 Å, b = 5.7246 Å, c = 5.6368 Å
α = 90.00°, β = 90.00°, γ = 90.00°
Fractional positions:
1 Ba 0.5000 0.5000 0.5000
2 Bi 0.0000 0.5000 0.0000
3 Bi 0.5000 0.0000 0.0000
4 Zr 0.0000 0.0000 0.0000
5 Hg 0.0000 0.0000 0.5000

Properties
V   36.944 Å³ per atom
N(E_F)   4.02 states/eV per cell
Total energy   -4.066 eV/atom
Symmetry   P4/mmm, No. 123
Formation enthalpy at 0 K   -359.5 meV/atom

=====

Entry from the Alexandria database: BaHoBi after structural relaxation (PBE).

a = 4.9261 Å, b = 4.9261 Å, c = 9.3805 Å
α = 90.00°, β = 90.00°, γ = 90.00°
Fractional positions:
1 Ba 0.0000 0.5000 0.8499
2 Ba 0.5000 0.0000 0.1501
3 Bi 0.0000 0.5000 0.2638
4 Bi 0.5000 0.0000 0.7362
5 Ho 0.5000 0.5000 0.5000
6 Ho 0.0000 0.0000 0.5000

Properties
V   37.938 Å³ per atom
N(E_F)   6.28 states/eV per cell
Total energy   -4.086 eV/atom
Symmetry   P4/nmm, No. 129
Formation enthalpy at 0 K   -625.4 meV/atom

=====

Number 1: theoretical density 8.52 g/cm³. Number 2: theoretical density 8.09 g/cm³. Number 3: theoretical density 9.12 g/cm³. Number 4: theoretical density 8.42 g/cm³. Number 5: theoretical density 7.62 g/cm³. Number 6: theoretical density 7.46 g/cm³.